Record 1
# LiNdTm2Cd4 PBE-GGA optimized geometry
data_LiNdTm2Cd4
_space_group_name_H-M_alt 'R -3 m'
_space_group_IT_number 166
_space_group_name_Hall '-R 3 2"'
_cell_length_a 5.1658
_cell_length_b 5.1658
_cell_length_c 26.0182
_cell_angle_alpha 90.00
_cell_angle_beta 90.00
_cell_angle_gamma 120.00
loop_
_atom_site_label
_atom_site_fract_x
_atom_site_fract_y
_atom_site_fract_z
Li1 0.0000 0.0000 0.0000
Nd1 0.0000 0.0000 0.5000
Tm1 0.0000 0.0000 0.2533
Cd1 0.0000 0.0000 0.1150
Cd2 0.0000 0.0000 0.3724
# - size of the total moment (μB per cell) = 0.000



Record 2
# K2Cd16Sn PBE-GGA optimized geometry
data_K2Cd16Sn
_space_group_name_H-M_alt 'R 3 m'
_space_group_IT_number 160
_space_group_name_Hall 'R 3 -2"'
_cell_length_a 10.5062
_cell_length_b 10.5062
_cell_length_c 15.0795
_cell_angle_alpha 90.00
_cell_angle_beta 90.00
_cell_angle_gamma 120.00
loop_
_atom_site_label
_atom_site_fract_x
_atom_site_fract_y
_atom_site_fract_z
K1 0.0000 0.0000 0.0000
K2 0.0000 0.0000 0.3211
Cd1 0.0000 0.0000 0.5608
Cd2 0.0010 0.3027 0.6605
Cd3 0.0081 0.5041 0.1599
Cd4 0.0089 0.5045 0.8113
Cd5 0.1733 0.3465 0.8427
Sn1 0.0000 0.0000 0.7613
# - size of the total moment (μB per cell) = 0.000



These records have DFT total energy values of -2.66; -1.16 eV/atom, in the order they appear.
These records have mass density values of 7.78; 6.90 g/cm³, in the order they appear.